Entry 1:
Computed, not measured: an optimized crystal structure of ZnSbPd5 at the PBE level of DFT.

The calculated total energy is -0.167 hartree per atom. The calculation puts the spin magnetization at 0.00 μB/cell.

Unit cell a=6.738 b=6.738 c=6.983 alpha=112.53 beta=112.53 gamma=89.64
Fractional coordinates of all 14 atoms:
1 Zn 0.000 0.000 0.000
2 Zn 0.000 0.000 0.500
3 Sb 0.455 0.545 0.750
4 Sb 0.545 0.455 0.250
5 Pd 0.188 0.812 0.750
6 Pd 0.189 0.390 0.310
7 Pd 0.189 0.573 0.003
8 Pd 0.390 0.189 0.810
9 Pd 0.427 0.811 0.497
10 Pd 0.573 0.189 0.503
11 Pd 0.610 0.811 0.190
12 Pd 0.811 0.427 0.997
13 Pd 0.811 0.610 0.690
14 Pd 0.812 0.188 0.250

=====

Entry 2:
Computed, not measured: an optimized crystal structure of Zn2SbPd2 at the PBE level of DFT.

The calculated total energy is -0.136 hartree per atom. The polymorph energy (0 for the lowest one) is 22 kJ/mol of formula units. The calculation puts the spin magnetization at 0.00 μB/cell.

Unit cell a=7.553 b=7.553 c=2.971 alpha=90.00 beta=90.00 gamma=90.00
Fractional coordinates of all 10 atoms:
1 Zn 0.124 0.376 0.000
2 Zn 0.376 0.876 0.000
3 Zn 0.624 0.124 0.000
4 Zn 0.876 0.624 0.000
5 Sb 0.000 0.000 0.000
6 Sb 0.500 0.500 0.000
7 Pd 0.168 0.668 0.500
8 Pd 0.332 0.168 0.500
9 Pd 0.668 0.832 0.500
10 Pd 0.832 0.332 0.500

=====

Entry 3:
Computed, not measured: an optimized crystal structure of ZnSb6Pd12 at the PBE level of DFT.

The calculated total energy is -0.183 hartree per atom. The calculation puts the spin magnetization at 0.00 μB/cell.

Unit cell a=7.372 b=7.372 c=7.372 alpha=100.05 beta=100.05 gamma=100.05
Fractional coordinates of all 19 atoms:
1 Zn 0.000 0.000 0.000
2 Sb 0.149 0.512 0.257
3 Sb 0.257 0.149 0.512
4 Sb 0.488 0.743 0.851
5 Sb 0.512 0.257 0.149
6 Sb 0.743 0.851 0.488
7 Sb 0.851 0.488 0.743
8 Pd 0.022 0.845 0.300
9 Pd 0.155 0.700 0.978
10 Pd 0.182 0.494 0.618
11 Pd 0.300 0.022 0.845
12 Pd 0.382 0.818 0.506
13 Pd 0.494 0.618 0.182
14 Pd 0.506 0.382 0.818
15 Pd 0.618 0.182 0.494
16 Pd 0.700 0.978 0.155
17 Pd 0.818 0.506 0.382
18 Pd 0.845 0.300 0.022
19 Pd 0.978 0.155 0.700

=====

Entry 4:
Computed, not measured: an optimized crystal structure of Zn3SbPd at the PBE level of DFT.

The calculated total energy is -0.090 hartree per atom. The polymorph energy (0 for the lowest one) is 0 kJ/mol of formula units. The calculation puts the spin magnetization at 0.00 μB/cell.

Unit cell a=4.793 b=4.793 c=4.793 alpha=90.00 beta=90.00 gamma=90.00
Fractional coordinates of all 5 atoms:
1 Zn 0.000 0.000 0.500
2 Zn 0.000 0.500 0.000
3 Zn 0.500 0.000 0.000
4 Sb 0.500 0.500 0.500
5 Pd 0.000 0.000 0.000

=====

Entry 5:
Computed, not measured: an optimized crystal structure of Zn2Sb2Pd at the PBE level of DFT.

The calculated total energy is -0.116 hartree per atom. The polymorph energy (0 for the lowest one) is 0 kJ/mol of formula units. The calculation puts the spin magnetization at 0.00 μB/cell.

Unit cell a=9.206 b=9.206 c=9.206 alpha=158.34 beta=158.34 gamma=30.82
Fractional coordinates of all 5 atoms:
1 Zn 0.250 0.750 0.500
2 Zn 0.750 0.250 0.500
3 Sb 0.093 0.093 0.000
4 Sb 0.907 0.907 0.000
5 Pd 0.500 0.500 0.000

=====

Entry 6:
Computed, not measured: an optimized crystal structure of ZrSbPd at the PBE level of DFT.

The calculated total energy is -0.246 hartree per atom. The calculation puts the spin magnetization at 0.00 μB/cell.

Unit cell a=6.867 b=4.352 c=8.030 alpha=90.00 beta=90.00 gamma=90.00
Fractional coordinates of all 12 atoms:
1 Zr 0.018 0.250 0.195
2 Zr 0.482 0.750 0.695
3 Zr 0.518 0.250 0.305
4 Zr 0.982 0.750 0.805
5 Sb 0.233 0.750 0.393
6 Sb 0.267 0.250 0.893
7 Sb 0.733 0.750 0.107
8 Sb 0.767 0.250 0.607
9 Pd 0.165 0.250 0.573
10 Pd 0.335 0.750 0.073
11 Pd 0.665 0.250 0.927
12 Pd 0.835 0.750 0.427

=====

Entry 7:
Computed, not measured: an optimized crystal structure of ZrSb3Pd at the PBE level of DFT.

The calculated total energy is -0.172 hartree per atom. The polymorph energy (0 for the lowest one) is 73 kJ/mol of formula units. The calculation puts the spin magnetization at 0.00 μB/cell.

Unit cell a=5.478 b=5.478 c=5.478 alpha=90.00 beta=90.00 gamma=90.00
Fractional coordinates of all 5 atoms:
1 Zr 0.000 0.000 0.000
2 Sb 0.000 0.000 0.500
3 Sb 0.000 0.500 0.000
4 Sb 0.500 0.000 0.000
5 Pd 0.500 0.500 0.500

=====

Entry 8:
Computed, not measured: an optimized crystal structure of ZrSb2Pd9 at the PBE level of DFT.

The calculated total energy is -0.213 hartree per atom. The calculation puts the spin magnetization at 0.00 μB/cell.

Unit cell a=4.056 b=4.056 c=12.112 alpha=90.00 beta=90.00 gamma=90.00
Fractional coordinates of all 12 atoms:
1 Zr 0.000 0.000 0.000
2 Sb 0.000 0.000 0.335
3 Sb 0.000 0.000 0.665
4 Pd 0.000 0.500 0.164
5 Pd 0.000 0.500 0.500
6 Pd 0.000 0.500 0.836
7 Pd 0.500 0.000 0.164
8 Pd 0.500 0.000 0.500
9 Pd 0.500 0.000 0.836
10 Pd 0.500 0.500 0.000
11 Pd 0.500 0.500 0.333
12 Pd 0.500 0.500 0.667

=====

Entry 9:
Computed, not measured: an optimized crystal structure of Zr2SbPd8 at the PBE level of DFT.

The calculated total energy is -0.232 hartree per atom. The calculation puts the spin magnetization at 0.00 μB/cell.

Unit cell a=7.968 b=7.968 c=5.815 alpha=111.33 beta=111.33 gamma=34.44
Fractional coordinates of all 11 atoms:
1 Zr 0.189 0.189 0.189
2 Zr 0.811 0.811 0.811
3 Sb 0.500 0.500 0.500
4 Pd 0.000 0.000 0.246
5 Pd 0.000 0.000 0.754
6 Pd 0.184 0.184 0.684
7 Pd 0.357 0.357 0.093
8 Pd 0.357 0.357 0.620
9 Pd 0.643 0.643 0.380
10 Pd 0.643 0.643 0.907
11 Pd 0.816 0.816 0.316

=====

Entry 10:
Computed, not measured: an optimized crystal structure of ZrSbPd at the PBE level of DFT.

The calculated total energy is -0.218 hartree per atom. The calculation puts the spin magnetization at 0.00 μB/cell.

Unit cell a=7.920 b=7.920 c=7.920 alpha=157.85 beta=157.85 gamma=31.52
Fractional coordinates of all 3 atoms:
1 Zr 0.000 0.000 0.000
2 Sb 0.650 0.650 0.000
3 Pd 0.835 0.835 0.000

=====

Entry 11:
Computed, not measured: an optimized crystal structure of Zr3SbPd at the PBE level of DFT.

The calculated total energy is -0.251 hartree per atom. The polymorph energy (0 for the lowest one) is 0 kJ/mol of formula units. The calculation puts the spin magnetization at 0.00 μB/cell.

Unit cell a=5.061 b=5.061 c=5.061 alpha=90.00 beta=90.00 gamma=90.00
Fractional coordinates of all 5 atoms:
1 Zr 0.000 0.000 0.500
2 Zr 0.000 0.500 0.000
3 Zr 0.500 0.000 0.000
4 Sb 0.500 0.500 0.500
5 Pd 0.000 0.000 0.000

=====

Entry 12:
Computed, not measured: an optimized crystal structure of ZrSb2Pd4 at the PBE level of DFT.

The calculated total energy is -0.215 hartree per atom. The calculation puts the spin magnetization at 0.00 μB/cell.

Unit cell a=4.122 b=4.122 c=7.869 alpha=90.00 beta=90.00 gamma=90.00
Fractional coordinates of all 7 atoms:
1 Zr 0.000 0.000 0.000
2 Sb 0.000 0.000 0.500
3 Sb 0.500 0.500 0.000
4 Pd 0.000 0.500 0.273
5 Pd 0.000 0.500 0.727
6 Pd 0.500 0.000 0.273
7 Pd 0.500 0.000 0.727

=====

The lowest calculated total energy belongs to which entry? Zr3SbPd